{"formula": "Ca3Te12Au5", "functional": "PBE-GGA", "state": "relaxed", "magmom_total_mub_per_fu": 0.0, "e_form_raw_ev_per_fu": -6.9, "lattice_angstrom": [[-8.653, 8.653, 8.653], [8.653, -8.653, 8.653], [8.653, 8.653, -8.653]], "species": ["Ca", "Ca", "Ca", "Ca", "Ca", "Ca", "Ca", "Ca", "Ca", "Ca", "Ca", "Ca", "Te", "Te", "Te", "Te", "Te", "Te", "Te", "Te", "Te", "Te", "Te", "Te", "Te", "Te", "Te", "Te", "Te", "Te", "Te", "Te", "Te", "Te", "Te", "Te", "Te", "Te", "Te", "Te", "Te", "Te", "Te", "Te", "Te", "Te", "Te", "Te", "Te", "Te", "Te", "Te", "Te", "Te", "Te", "Te", "Te", "Te", "Te", "Te", "Au", "Au", "Au", "Au", "Au", "Au", "Au", "Au", "Au", "Au", "Au", "Au", "Au", "Au", "Au", "Au", "Au", "Au", "Au", "Au"], "fractional_positions": [[0.125, 0.250, 0.375], [0.125, 0.375, 0.750], [0.250, 0.375, 0.125], [0.250, 0.875, 0.625], [0.375, 0.125, 0.250], [0.375, 0.750, 0.125], [0.625, 0.250, 0.875], [0.625, 0.875, 0.750], [0.750, 0.125, 0.375], [0.750, 0.625, 0.875], [0.875, 0.625, 0.250], [0.875, 0.750, 0.625], [0.041, 0.210, 0.131], [0.041, 0.331, 0.910], [0.079, 0.710, 0.669], [0.079, 0.869, 0.410], [0.090, 0.631, 0.421], [0.090, 0.959, 0.669], [0.131, 0.041, 0.210], [0.131, 0.590, 0.921], [0.169, 0.210, 0.579], [0.169, 0.459, 0.590], [0.210, 0.131, 0.041], [0.210, 0.579, 0.169], [0.290, 0.331, 0.921], [0.290, 0.459, 0.369], [0.331, 0.910, 0.041], [0.331, 0.921, 0.290], [0.369, 0.290, 0.459], [0.369, 0.579, 0.910], [0.410, 0.079, 0.869], [0.410, 0.831, 0.541], [0.421, 0.090, 0.631], [0.421, 0.831, 0.790], [0.459, 0.369, 0.290], [0.459, 0.590, 0.169], [0.541, 0.410, 0.831], [0.541, 0.631, 0.710], [0.579, 0.169, 0.210], [0.579, 0.910, 0.369], [0.590, 0.169, 0.459], [0.590, 0.921, 0.131], [0.631, 0.421, 0.090], [0.631, 0.710, 0.541], [0.669, 0.079, 0.710], [0.669, 0.090, 0.959], [0.710, 0.541, 0.631], [0.710, 0.669, 0.079], [0.790, 0.421, 0.831], [0.790, 0.869, 0.959], [0.831, 0.541, 0.410], [0.831, 0.790, 0.421], [0.869, 0.410, 0.079], [0.869, 0.959, 0.790], [0.910, 0.041, 0.331], [0.910, 0.369, 0.579], [0.921, 0.131, 0.590], [0.921, 0.290, 0.331], [0.959, 0.669, 0.090], [0.959, 0.790, 0.869], [0.000, 0.000, 0.000], [0.000, 0.000, 0.500], [0.000, 0.500, 0.000], [0.000, 0.500, 0.500], [0.125, 0.750, 0.875], [0.125, 0.875, 0.250], [0.250, 0.125, 0.875], [0.250, 0.625, 0.375], [0.375, 0.250, 0.625], [0.375, 0.625, 0.750], [0.500, 0.000, 0.000], [0.500, 0.000, 0.500], [0.500, 0.500, 0.000], [0.500, 0.500, 0.500], [0.625, 0.375, 0.250], [0.625, 0.750, 0.375], [0.750, 0.375, 0.625], [0.750, 0.875, 0.125], [0.875, 0.125, 0.750], [0.875, 0.250, 0.125]]}